1.
## ScZnMo3O8 (PBE+U)

Data for a relaxed ScZnMo3O8 crystal.

As for the total energy: -7.206 eV per atom.

```
data_ScZnMo3O8
_chemical_formula_sum 'Sc2 Zn2 Mo6 O16'
_cell_length_a 6.3149
_cell_length_b 6.3149
_cell_length_c 9.6147
_cell_angle_alpha 90.00
_cell_angle_beta 90.00
_cell_angle_gamma 120.00
_symmetry_space_group_name_H-M 'P 63 m c'
_symmetry_Int_Tables_number 186
_symmetry_space_group_name_Hall 'P 6c -2c'
loop_
_atom_site_label
_atom_site_type_symbol
_atom_site_fract_x
_atom_site_fract_y
_atom_site_fract_z
Sc1 Sc 0.3333 0.6667 0.0000
Zn1 Zn 0.3333 0.6667 0.3903
Mo1 Mo 0.1643 0.3286 0.7139
O1 O 0.0000 0.0000 0.3236
O2 O 0.0348 0.5174 0.8434
O3 O 0.1693 0.3387 0.1143
O4 O 0.3333 0.6667 0.5978
```

***

2.
## Ba2RuW3O12 (PBE+U)

Data for a relaxed Ba2RuW3O12 crystal.

As for the total energy: -7.250 eV per atom.

```
data_Ba2RuW3O12
_chemical_formula_sum 'Ba6 Ru3 W9 O36'
_cell_length_a 7.3387
_cell_length_b 7.3387
_cell_length_c 17.8362
_cell_angle_alpha 90.00
_cell_angle_beta 90.00
_cell_angle_gamma 120.00
_symmetry_space_group_name_H-M 'R -3 m'
_symmetry_Int_Tables_number 166
_symmetry_space_group_name_Hall '-R 3 2"'
loop_
_atom_site_label
_atom_site_type_symbol
_atom_site_fract_x
_atom_site_fract_y
_atom_site_fract_z
Ba1 Ba 0.0000 0.0000 0.1598
Ru1 Ru 0.0000 0.0000 0.5000
W1 W 0.0000 0.5000 0.0000
O1 O 0.0721 0.5360 0.1087
O2 O 0.0733 0.5366 0.3639
```